Here is LiDyGa4 after structural relaxation from Alexandria via LeMat-Bulk. Energies are from GGA-PBE.

Computed properties:
**Symmetry**: Immm
**Energy of formation from the pure elements**: -2.7 eV/f.u.
**Spin magnetization**: 0.00 μB/f.u.

```
LiDyGa4
1.0
4.3027 0.0000 0.0000
0.0000 6.7800 0.0000
0.0000 0.0000 7.7893
Li Dy Ga
2 2 8
Direct
0.0000 0.0000 0.0000
0.5000 0.5000 0.5000
0.0000 0.5000 0.0000
0.5000 0.0000 0.5000
0.0000 0.2946 0.3351
0.0000 0.2946 0.6649
0.0000 0.7054 0.3351
0.0000 0.7054 0.6649
0.5000 0.2054 0.1649
0.5000 0.2054 0.8351
0.5000 0.7946 0.1649
0.5000 0.7946 0.8351
```

***

Here is Li2DyGa2 after structural relaxation from Alexandria via LeMat-Bulk. Energies are from GGA-PBE.

Computed properties:
**Symmetry**: Pmmn
**Energy of formation from the pure elements**: -1.6 eV/f.u.
**Spin magnetization**: 0.00 μB/f.u.

```
Li2DyGa2
1.0
3.3752 0.0000 0.0000
0.0000 4.5520 0.0000
0.0000 0.0000 12.5249
Li Dy Ga
4 2 4
Direct
0.2500 0.2500 0.0192
0.2500 0.7500 0.3649
0.7500 0.2500 0.6351
0.7500 0.7500 0.9808
0.2500 0.7500 0.7504
0.7500 0.2500 0.2496
0.2500 0.2500 0.4640
0.2500 0.7500 0.1540
0.7500 0.2500 0.8460
0.7500 0.7500 0.5360
```